1.
VASP calculation (PBE) on a geometry-optimized CdTc2Os structure.

Geometry as POSCAR:
```
CdTc2Os
1.0
4.8929 0.0015 -0.0132
4.0714 2.7137 -0.0132
0.9251 0.2802 4.7724
Cd Tc Os
1 2 1
Cartesian
2.4724 0.7489 1.1865
4.8518 1.4696 2.5246
1.0180 0.3084 4.6208
7.4171 2.2466 3.5595
```

Output
total energy	-7.79	eV/atom
DFT formation energy	0.4291	eV per atom

---

2.
VASP calculation (PBE) on a geometry-optimized CdTc2Os structure.

Geometry as POSCAR:
```
CdTc2Os
1.0
2.7871 0.0000 0.0000
0.0000 2.7871 0.0000
0.0000 0.0000 8.1461
Tc Cd Os
2 1 1
Cartesian
0.0000 0.0000 4.2726
0.0000 0.0000 7.9465
1.3935 1.3935 2.0365
1.3935 1.3935 6.1096
```

Output
total energy	-7.95	eV/atom
DFT formation energy	0.2678	eV per atom

---

3.
VASP calculation (PBE) on a geometry-optimized CdTcOs structure.

Geometry as POSCAR:
```
CdTcOs
1.0
-1.1443 -3.7219 1.8451
2.6217 -1.8863 2.8522
-1.0688 -0.0968 4.1731
Cd Tc Os
1 1 1
Cartesian
0.2043 -2.8525 4.4352
0.0000 0.0000 0.0000
0.1021 -1.4262 2.2176
```

Output
total energy	-6.70	eV/atom
DFT formation energy	0.8043	eV per atom